No. 1
{"formula": "TbTmAs", "functional": "PBE", "state": "relaxed", "lattice": [[6.386, 0.000, 0.000], [0.000, 3.962, 0.000], [0.000, -1.981, 3.431]], "species": ["As", "Tm", "Tb"], "fractional_positions": [[0.003, 0.000, 0.000], [0.258, 0.333, 0.667], [0.738, 0.667, 0.333]], "vol_a3_per_atom": 28.9, "space_group": "P3m1 (156)", "final_energy_ev_per_fu": -16.280}

No. 2
{"formula": "TbTmAs", "functional": "PBE", "state": "relaxed", "lattice": [[4.259, 0.023, 0.000], [-0.022, 4.259, 0.000], [0.000, 0.000, 8.071]], "species": ["Tm", "Tm", "As", "As", "Tb", "Tb"], "fractional_positions": [[0.336, 0.836, 0.857], [0.836, 0.336, 0.143], [0.336, 0.836, 0.215], [0.836, 0.336, 0.785], [0.836, 0.836, 0.500], [0.336, 0.336, 0.500]], "vol_a3_per_atom": 24.4, "space_group": "P4/nmm (129)", "final_energy_ev_per_fu": -16.344}

No. 3
{"formula": "TbTmAs2", "functional": "PBE", "state": "relaxed", "lattice": [[4.062, 0.000, 0.000], [2.031, 3.518, 0.000], [2.031, 1.173, 6.975]], "species": ["Tb", "Tm", "As", "As"], "fractional_positions": [[0.498, 0.498, 0.507], [0.669, 0.669, 0.993], [0.081, 0.081, 0.758], [0.253, 0.253, 0.242]], "vol_a3_per_atom": 24.9, "space_group": "R3m (160)", "final_energy_ev_per_fu": -23.907, "relative_energy_ev_per_atom": 0.146}

It is found that the total moment values, taken in the order of the records, are 0.05 0.00 0.00 Bohr magnetons per cell.